Entry 1:
Below is a geometry-optimized TlCoCu2 structure, with properties calculated at the PBE-GGA level.

Values from the calculation:
* theoretical density: 11.35 g cm⁻³
* D(E_F): 1.7 states/eV/cell
* ΔE_f: 0.34 eV per atom

Lattice parameters (Å, degrees): 3.7659 3.7815 4.0096 90.00 90.00 90.00
With the nearest neighbours (Å) after each atom.
Space group Pmmm (No. 47)
Inequivalent atoms, fractional coordinates:
Tl1 0.0000 0.0000 0.0000 (multiplicity 1)  4 Co 2.67, 8 Cu 2.75-2.76
Co1 0.5000 0.5000 0.0000 (multiplicity 1)  4 Tl 2.67, 8 Cu 2.75-2.76
Cu1 0.0000 0.5000 0.5000 (multiplicity 1)  4 Cu 2.67, 4 Co 2.75, 4 Tl 2.76
Cu2 0.5000 0.0000 0.5000 (multiplicity 1)  4 Cu 2.67, 4 Tl 2.75, 4 Co 2.76

***

Entry 2:
Below is a geometry-optimized CeTi2BeO7 structure, with properties calculated at the PBE-GGA level.

Values from the calculation:
* uncorrected formation energy: -2.788 eV per atom
* theoretical density: 4.77 g cm⁻³

Lattice parameters (Å, degrees): 3.6878 3.6878 18.2620 90.00 90.00 90.00
With the nearest neighbours (Å) after each atom.
Space group I-4m2 (No. 119)
Inequivalent atoms, fractional coordinates:
Ce1 0.0000 0.0000 0.0000 (multiplicity 2)  12 O 2.48-2.62
Ti1 0.0000 0.0000 0.3759 (multiplicity 4)  5 O 1.81-1.94
Be1 0.0000 0.5000 0.2500 (multiplicity 2)  4 O 1.91
O1 0.0000 0.0000 0.2765 (multiplicity 4)  1 Ti 1.81, 2 Be 1.91
O2 0.0000 0.0000 0.5000 (multiplicity 2)  2 Ti 2.27, 4 O 2.48
O3 0.0000 0.5000 0.1021 (multiplicity 4)  2 Ti 1.89
O4 0.0000 0.5000 0.5907 (multiplicity 4)  2 Ti 1.94

***

Entry 3:
Below is a geometry-optimized U12Ge5H2 structure, with properties calculated at the PBE-GGA level.

Values from the calculation:
* raw total energy: -8.70 eV per atom
* theoretical density: 15.04 g cm⁻³
* D(E_F): 76.2 states/eV/cell

Lattice parameters (Å, degrees): 15.2411 5.9286 7.8947 90.00 94.50 90.00
With the nearest neighbours (Å) after each atom.
Space group C2/m (No. 12)
Inequivalent atoms, fractional coordinates:
U1 0.0112 0.0000 0.3473 (multiplicity 4)  1 U 2.46
U2 0.0129 0.5000 0.8472 (multiplicity 4)  2 H 2.27, 1 U 2.47
U3 0.1446 0.2245 0.8847 (multiplicity 8)  1 H 2.47, 3 U 2.59-2.70
U4 0.1646 0.2445 0.5484 (multiplicity 8)  3 U 2.70-2.90, 1 Ge 2.93
Ge1 0.0000 0.5000 0.5000 (multiplicity 2)  6 U 2.73-2.93
Ge2 0.1868 0.5000 0.2199 (multiplicity 4)  2 Ge 2.97, 9 U 3.04-3.15
Ge3 0.1978 0.0000 0.2198 (multiplicity 4)  2 Ge 2.97, 9 U 3.02-3.09
H1 0.0000 0.1785 0.0000 (multiplicity 4)  1 H 2.12, 2 U 2.27

***

Entry 4:
Below is a geometry-optimized Nd12SmHo6 structure, with properties calculated at the PBE-GGA level.

Values from the calculation:
* theoretical density: 7.27 g cm⁻³
* D(E_F): 95.7 states/eV/cell
* ΔE_f: 0.13 eV per atom

Lattice parameters (Å, degrees): 12.1681 12.1681 15.3373 90.00 90.00 120.00
With the nearest neighbours (Å) after each atom.
Space group R-3 (No. 148, hexagonal axes)
Inequivalent atoms, fractional coordinates:
Nd1 0.0034 0.8290 0.1919 (multiplicity 18)  4 Nd 3.47-3.64, 4 Ho 3.55-3.72, 1 Sm 3.62
Nd2 0.0473 0.8496 0.4165 (multiplicity 18)  4 Nd 3.36-3.63, 3 Ho 3.37-3.51
Sm1 0.0000 0.0000 0.0000 (multiplicity 3)  6 Ho 3.50, 6 Nd 3.62
Ho1 0.0153 0.4280 0.6866 (multiplicity 18)  7 Nd 3.37-3.72, 1 Sm 3.50, 2 Ho 3.54

***

Entry 5:
Below is a geometry-optimized YSb2PdC structure, with properties calculated at the PBE-GGA level.

Values from the calculation:
* uncorrected formation energy: 0.211 eV per atom
* theoretical density: 7.17 g cm⁻³
* D(E_F): 2.9 states/eV/cell

Lattice parameters (Å, degrees): 4.7224 4.7224 4.6815 90.00 90.00 90.00
With the nearest neighbours (Å) after each atom.
Space group P4/mmm (No. 123)
Inequivalent atoms, fractional coordinates:
Y1 0.0000 0.0000 0.0000 (multiplicity 1)  2 C 2.34
Sb1 0.0000 0.5000 0.5000 (multiplicity 2)  2 C 2.36
Pd1 0.5000 0.5000 0.0000 (multiplicity 1)  8 Sb 3.32, 4 Y 3.34
C1 0.0000 0.0000 0.5000 (multiplicity 1)  2 Y 2.34, 4 Sb 2.36

***

Entry 6:
Below is a geometry-optimized Pu7SbRh4 structure, with properties calculated at the PBE-GGA level.

Values from the calculation:
* uncorrected formation energy: -0.152 eV per atom
* theoretical density: 13.69 g cm⁻³
* D(E_F): 100.1 states/eV/cell

Lattice parameters (Å, degrees): 11.7358 5.6129 8.8106 90.00 110.45 90.00
With the nearest neighbours (Å) after each atom.
Space group C2/m (No. 12)
Inequivalent atoms, fractional coordinates:
Pu1 0.0000 0.0000 0.0000 (multiplicity 2)  2 Rh 2.74, 2 Sb 2.81, 2 Pu 3.04
Pu2 0.0425 0.5000 0.6804 (multiplicity 4)  3 Rh 2.61-2.88
Pu3 0.2252 0.0000 0.9054 (multiplicity 4)  2 Pu 2.83-3.04, 2 Rh 2.94-2.99, 1 Sb 3.04
Pu4 0.2495 0.0000 0.5967 (multiplicity 4)  1 Pu 2.83, 4 Rh 2.84-3.10
Sb1 0.0000 0.5000 0.0000 (multiplicity 2)  6 Pu 2.81-3.04
Rh1 0.0146 0.0000 0.3547 (multiplicity 4)  2 Rh 2.70-2.92, 4 Pu 2.84-2.94
Rh2 0.2219 0.0000 0.2436 (multiplicity 4)  2 Pu 2.61-2.74

***

Entry 7:
Below is a geometry-optimized SmYGeAu structure, with properties calculated at the PBE-GGA level.

Values from the calculation:
* theoretical density: 8.82 g cm⁻³
* D(E_F): 14.6 states/eV/cell
* ΔE_f: -0.75 eV per atom

Lattice parameters (Å, degrees): 7.2628 7.2628 7.2628 90.00 90.00 90.00
With the nearest neighbours (Å) after each atom.
Space group F-43m (No. 216)
Inequivalent atoms, fractional coordinates:
Sm1 0.0000 0.0000 0.0000 (multiplicity 4)  4 Ge 3.14, 4 Au 3.14
Y1 0.0000 0.0000 0.5000 (multiplicity 4)  4 Ge 3.14, 4 Au 3.14
Ge1 0.2500 0.2500 0.2500 (multiplicity 4)  4 Sm 3.14, 4 Y 3.14
Au1 0.2500 0.2500 0.7500 (multiplicity 4)  4 Sm 3.14, 4 Y 3.14

***

Entry 8:
Below is a geometry-optimized Rb2NaSrCd structure, with properties calculated at the PBE-GGA level.

Values from the calculation:
* theoretical density: 1.59 g cm⁻³
* D(E_F): 5.9 states/eV/cell
* ΔE_f: 0.39 eV per atom

Lattice parameters (Å, degrees): 7.9849 7.9849 6.4372 90.00 90.00 90.00
With the nearest neighbours (Å) after each atom.
Space group P4/mmm (No. 123)
Inequivalent atoms, fractional coordinates:
Rb1 0.0000 0.5000 0.0000 (multiplicity 2)  2 Sr 3.99
Na1 0.0000 0.0000 0.5000 (multiplicity 1)  8 Rb 5.13, 4 Cd 5.65
Sr1 0.5000 0.5000 0.0000 (multiplicity 1)  2 Cd 3.22
Cd1 0.5000 0.5000 0.5000 (multiplicity 1)  2 Sr 3.22

***

Entry 9:
Below is a geometry-optimized Pa2Ni3Sb structure, with properties calculated at the PBE-GGA level.

Values from the calculation:
* uncorrected formation energy: -0.387 eV per atom
* theoretical density: 11.29 g cm⁻³
* D(E_F): 34.3 states/eV/cell

Lattice parameters (Å, degrees): 6.8338 8.8379 14.7996 90.00 90.00 90.00
With the nearest neighbours (Å) after each atom.
Space group Fmmm (No. 69)
Inequivalent atoms, fractional coordinates:
Pa1 0.2100 0.0000 0.0000 (multiplicity 8)  6 Ni 2.84-2.88, 1 Pa 2.87, 2 Sb 3.10
Pa2 0.2500 0.2500 0.2500 (multiplicity 8)  8 Ni 2.99-3.06, 4 Sb 3.09
Ni1 0.0000 0.0000 0.1658 (multiplicity 8)  2 Ni 2.48, 1 Sb 2.56
Ni2 0.0000 0.2451 0.0843 (multiplicity 16)  2 Ni 2.48-2.50, 1 Sb 2.53
Sb1 0.0000 0.0000 0.3385 (multiplicity 8)  3 Ni 2.53-2.56

***

Entry 10:
Below is a geometry-optimized Cs2RbAu2 structure, with properties calculated at the PBE-GGA level.

Values from the calculation:
* theoretical density: 5.20 g cm⁻³
* D(E_F): 8.2 states/eV/cell
* ΔE_f: -0.17 eV per atom

Lattice parameters (Å, degrees): 5.6593 5.6593 14.8729 90.00 90.00 90.00
With the nearest neighbours (Å) after each atom.
Space group I4/mmm (No. 139)
Inequivalent atoms, fractional coordinates:
Cs1 0.0000 0.5000 0.2500 (multiplicity 4)  4 Au 3.65, 4 Cs 4.00
Rb1 0.0000 0.0000 0.0000 (multiplicity 2)  8 Au 4.25, 8 Cs 4.67
Au1 0.0000 0.0000 0.4047 (multiplicity 4)  1 Au 2.83

***

Entry 11:
Below is a geometry-optimized ZrScNi10 structure, with properties calculated at the PBE-GGA level.

Values from the calculation:
* theoretical density: 7.77 g cm⁻³
* D(E_F): 13.2 states/eV/cell
* ΔE_f: -0.29 eV per atom

Lattice parameters (Å, degrees): 3.9627 4.7525 8.2101 90.00 90.00 90.00
With the nearest neighbours (Å) after each atom.
Space group Pmmm (No. 47)
Inequivalent atoms, fractional coordinates:
Zr1 0.0000 0.0000 0.0000 (multiplicity 1)  6 Ni 2.74
Sc1 0.0000 0.5000 0.5000 (multiplicity 1)  6 Ni 2.74
Ni1 0.0000 0.0000 0.3335 (multiplicity 2)  6 Ni 2.41
Ni2 0.0000 0.5000 0.1669 (multiplicity 2)  6 Ni 2.41
Ni3 0.5000 0.0000 0.5000 (multiplicity 1)  8 Ni 2.38-2.41
Ni4 0.5000 0.2485 0.2484 (multiplicity 4)  8 Ni 2.36-2.41
Ni5 0.5000 0.5000 0.0000 (multiplicity 1)  8 Ni 2.36-2.41

***

Entry 12:
Below is a geometry-optimized Na2PS4 structure, with properties calculated at the PBE-GGA level.

Values from the calculation:
* uncorrected formation energy: -0.553 eV per atom
* theoretical density: 1.26 g cm⁻³
* D(E_F): 9.7 states/eV/cell

Lattice parameters (Å, degrees): 9.6688 9.6688 11.6134 90.00 90.00 90.00
With the nearest neighbours (Å) after each atom.
Space group P4_2/nbc (No. 133, origin choice 2)
Inequivalent atoms, fractional coordinates:
Na1 0.0061 0.0061 0.2500 (multiplicity 8)  4 S 2.81
P1 0.2500 0.7500 0.2500 (multiplicity 4)  4 S 2.05
S1 0.0790 0.7459 0.6460 (multiplicity 16)  1 P 2.05

***

Entry 13:
Below is a geometry-optimized MgBiBAu2 structure, with properties calculated at the PBE-GGA level.

Values from the calculation:
* theoretical density: 7.96 g cm⁻³
* D(E_F): 2.4 states/eV/cell
* ΔE_f: 1.31 eV per atom

Lattice parameters (Å, degrees): 4.9073 4.9073 5.5250 90.00 90.00 90.00
With the nearest neighbours (Å) after each atom.
Space group P4/mmm (No. 123)
Inequivalent atoms, fractional coordinates:
Mg1 0.0000 0.0000 0.0000 (multiplicity 1)  4 Au 2.45
Bi1 0.0000 0.0000 0.5000 (multiplicity 1)  2 Mg 2.76
B1 0.5000 0.5000 0.5000 (multiplicity 1)  4 Bi 3.47, 8 Au 3.69
Au1 0.0000 0.5000 0.0000 (multiplicity 2)  2 Mg 2.45

***

Entry 14:
Below is a geometry-optimized Al4TlAg structure, with properties calculated at the PBE-GGA level.

Values from the calculation:
* theoretical density: 5.79 g cm⁻³
* D(E_F): 10.0 states/eV/cell
* ΔE_f: 0.24 eV per atom

Lattice parameters (Å, degrees): 7.8392 7.8392 7.8392 90.00 90.00 90.00
With the nearest neighbours (Å) after each atom.
Space group F-43m (No. 216)
Inequivalent atoms, fractional coordinates:
Al1 0.1243 0.1243 0.3757 (multiplicity 16)  6 Al 2.76-2.79
Tl1 0.0000 0.0000 0.0000 (multiplicity 4)  12 Al 3.25, 4 Ag 3.39
Ag1 0.2500 0.2500 0.7500 (multiplicity 4)  12 Al 3.25, 4 Tl 3.39

***

Entry 15:
Below is a geometry-optimized Sc3SeBr structure, with properties calculated at the PBE-GGA level.

Values from the calculation:
* uncorrected formation energy: -0.287 eV per atom
* theoretical density: 3.66 g cm⁻³
* D(E_F): 7.4 states/eV/cell

Lattice parameters (Å, degrees): 5.1071 5.1071 5.1071 90.00 90.00 90.00
With the nearest neighbours (Å) after each atom.
Space group Pm-3m (No. 221)
Inequivalent atoms, fractional coordinates:
Sc1 0.0000 0.0000 0.5000 (multiplicity 3)  2 Se 2.55
Se1 0.0000 0.0000 0.0000 (multiplicity 1)  6 Sc 2.55
Br1 0.5000 0.5000 0.5000 (multiplicity 1)  12 Sc 3.61

***

Entry 16:
Below is a geometry-optimized PrYNi2As2 structure, with properties calculated at the PBE-GGA level.

Values from the calculation:
* theoretical density: 7.12 g cm⁻³
* D(E_F): 2.8 states/eV/cell
* ΔE_f: -1.04 eV per atom

Lattice parameters (Å, degrees): 4.0928 4.0928 7.9943 90.00 90.00 120.00
With the nearest neighbours (Å) after each atom.
Space group P-3m1 (No. 164)
Inequivalent atoms, fractional coordinates:
Pr1 0.0000 0.0000 0.0000 (multiplicity 1)  6 Ni 3.14, 6 As 3.15
Y1 0.0000 0.0000 0.5000 (multiplicity 1)  6 As 3.04, 6 Ni 3.05
Ni1 0.3333 0.6667 0.7418 (multiplicity 2)  3 As 2.36
As1 0.3333 0.6667 0.2609 (multiplicity 2)  3 Ni 2.36

***

Entry 17:
Below is a geometry-optimized Er2Ni21P6 structure, with properties calculated at the PBE-GGA level.

Values from the calculation:
* theoretical density: 8.35 g cm⁻³
* D(E_F): 33.6 states/eV/cell
* ΔE_f: -0.52 eV per atom

Lattice parameters (Å, degrees): 11.1724 11.1724 11.1724 90.00 90.00 90.00
With the nearest neighbours (Å) after each atom.
Space group Fm-3m (No. 225)
Inequivalent atoms, fractional coordinates:
Er1 0.2500 0.2500 0.2500 (multiplicity 8)  4 Ni 2.66
Ni1 0.0000 0.0000 0.0000 (multiplicity 4)  12 Ni 2.76, 6 P 2.90
Ni2 0.0000 0.1745 0.1745 (multiplicity 48)  2 P 2.17, 1 Ni 2.39
Ni3 0.1128 0.1128 0.3872 (multiplicity 32)  3 P 2.28, 3 Ni 2.52
P1 0.0000 0.0000 0.2600 (multiplicity 24)  8 Ni 2.17-2.28

***

Entry 18:
Below is a geometry-optimized SrCa2Ta structure, with properties calculated at the PBE-GGA level.

Values from the calculation:
* theoretical density: 4.47 g cm⁻³
* D(E_F): 10.4 states/eV/cell
* ΔE_f: 0.84 eV per atom

Lattice parameters (Å, degrees): 7.0742 10.6999 3.4261 90.00 90.00 90.00
With the nearest neighbours (Å) after each atom.
Space group Cmmm (No. 65)
Inequivalent atoms, fractional coordinates:
Sr1 0.0000 0.0000 0.0000 (multiplicity 2)  2 Sr 3.43, 2 Ta 3.54, 8 Ca 3.64
Ca1 0.2500 0.2500 0.5000 (multiplicity 4)  4 Ca 3.43-3.54, 4 Ta 3.64, 4 Sr 3.64
Ta1 0.0000 0.5000 0.0000 (multiplicity 2)  2 Ta 3.43, 2 Sr 3.54, 8 Ca 3.64

***

Entry 19:
Below is a geometry-optimized Sc2CrTc structure, with properties calculated at the PBE-GGA level.

Values from the calculation:
* theoretical density: 5.55 g cm⁻³
* D(E_F): 2.5 states/eV/cell
* ΔE_f: -0.04 eV per atom

Lattice parameters (Å, degrees): 3.0651 3.0651 7.6400 90.00 90.00 90.00
With the nearest neighbours (Å) after each atom.
Space group P4mm (No. 99)
Inequivalent atoms, fractional coordinates:
Sc1 0.0000 0.0000 0.0000 (multiplicity 1)  4 Cr 2.81, 4 Sc 3.07, 1 Tc 3.10
Sc2 0.5000 0.5000 0.3572 (multiplicity 1)  4 Tc 2.83, 4 Sc 3.07, 1 Cr 3.12
Cr1 0.5000 0.5000 0.7651 (multiplicity 1)  4 Tc 2.53, 4 Sc 2.81
Tc1 0.0000 0.0000 0.5947 (multiplicity 1)  4 Cr 2.53, 4 Sc 2.83

***

Entry 20:
Below is a geometry-optimized BaTm2Al structure, with properties calculated at the PBE-GGA level.

Values from the calculation:
* theoretical density: 6.49 g cm⁻³
* D(E_F): 3.2 states/eV/cell
* ΔE_f: -0.06 eV per atom

Lattice parameters (Å, degrees): 3.6051 3.6051 9.8856 90.00 90.00 90.00
With the nearest neighbours (Å) after each atom.
Space group P4/mmm (No. 123)
Inequivalent atoms, fractional coordinates:
Ba1 0.0000 0.0000 0.0000 (multiplicity 1)  4 Ba 3.61
Tm1 0.5000 0.5000 0.3208 (multiplicity 2)  4 Al 3.10
Al1 0.0000 0.0000 0.5000 (multiplicity 1)  8 Tm 3.10